Material: Sc4Pd3Pt
Method: DFT, PBE-GGA
State: relaxed

Summary:
- total magnetization (μB/f.u.) = 0.0
- space-group type = R-3m
- N(E_F) (states/eV/cell) = 5.93
- E (eV per cell) = -54.91
- DFT formation energy (eV per formula unit) = -8.0

Cell and atoms, written as extended XYZ:
```
8
Lattice="4.486 0.000 1.324 2.047 3.991 1.324 0.047 0.029 8.101" Properties=species:S:1:pos:R:3 pbc="T T T"
Sc 2.487 1.519 8.096
Sc 4.093 2.501 2.654
Sc 0.841 0.514 5.409
Sc 5.738 3.506 5.340
Pd 4.941 3.019 8.040
Pd 3.290 2.010 5.375
Pd 1.639 1.001 2.709
Pt 0.000 0.000 0.000
```